1.
Density functional theory data (PBE-GGA) for Cs2UAuSe6 after structural relaxation.

a b c (Å): 7.628 7.628 7.628
angles (deg): 60.00 60.00 90.00
Sites, in units of the cell vectors:
Cs: 0.250 0.750 0.500
Au: 0.500 0.500 0.000
Cs: 0.750 0.250 0.500
Se: 0.753 0.247 0.000
Se: 0.753 0.753 0.494
U: 0.000 0.000 0.000
Se: 0.247 0.247 0.000
Se: 0.247 0.753 0.000
Se: 0.753 0.753 0.000
Se: 0.247 0.247 0.506

Summary:
DFT total energy, eV/atom: -4.354
Space group: Fm-3m
M_tot, μB per formula unit: 0.00
Crystal system: cubic

***

2.
Density functional theory data (PBE-GGA) for CsU2Au2Se6 after structural relaxation.

a b c (Å): 7.643 8.213 8.360
angles (deg): 123.71 89.85 61.58
Each line ends with the local moment (μB).
Sites, in units of the cell vectors:
Se: 0.839 0.168 0.437  -0.07
Se: 0.580 0.236 0.967  -0.07
Se: 0.013 0.409 0.145  -0.08
Se: 0.987 0.591 0.855  -0.08
U: 0.835 0.332 0.840  1.77
Se: 0.161 0.832 0.563  -0.07
Au: 0.797 0.265 0.197  -0.04
Se: 0.420 0.764 0.033  -0.07
Cs: 0.500 0.000 0.500  0.00
Au: 0.203 0.735 0.803  -0.04
U: 0.165 0.668 0.160  1.77

Summary:
DFT total energy, eV/atom: -5.395
Space group: P-1
M_tot, μB per formula unit: 3.00
Crystal system: triclinic

***

3.
Density functional theory data (PBE-GGA) for CsUAu2Se4 after structural relaxation.

a b c (Å): 5.557 7.662 7.662
angles (deg): 79.22 68.74 68.74
Each line ends with the local moment (μB).
Sites, in units of the cell vectors:
U: 0.500 0.500 0.500  1.23
Cs: 0.000 0.000 0.000  0.00
Se: 0.855 0.509 0.151  -0.05
Se: 0.145 0.849 0.491  -0.05
Au: 0.149 0.351 0.351  -0.01
Se: 0.515 0.491 0.849  -0.05
Au: 0.851 0.649 0.649  -0.01
Se: 0.485 0.151 0.509  -0.05

Summary:
DFT total energy, eV/atom: -4.705
Space group: I222
M_tot, μB per formula unit: 1.00
Crystal system: orthorhombic

***

4.
Density functional theory data (PBE-GGA) for Cs2UAu2Se6 after structural relaxation.

a b c (Å): 7.836 7.836 7.490
angles (deg): 90.00 90.00 120.00
Sites, in units of the cell vectors:
Cs: 0.333 0.667 0.290
Cs: 0.667 0.333 0.710
Se: 0.161 0.858 0.768
Se: 0.142 0.303 0.768
Au: 0.333 0.667 0.801
U: 0.000 0.000 0.000
Se: 0.303 0.161 0.232
Se: 0.839 0.142 0.232
Se: 0.858 0.697 0.232
Se: 0.697 0.839 0.768
Au: 0.667 0.333 0.199

Summary:
DFT total energy, eV/atom: -4.335
Space group: P-3
M_tot, μB per formula unit: 0.00
Crystal system: trigonal